DFT (GGA-PBE) results for an optimized crystal structure of Nd3SiBi.

abc: 9.8615 9.8615 7.5820
angles: 99.46 99.46 76.05
Fractional positions:
Nd (0.0362, 0.1658, 0.4340)
Nd (0.1431, 0.6546, 0.0375)
Nd (0.1658, 0.0362, 0.9340)
Nd (0.3073, 0.4703, 0.5295)
Nd (0.3454, 0.8569, 0.4625)
Nd (0.4703, 0.3073, 0.0295)
Nd (0.5297, 0.6927, 0.9705)
Nd (0.6546, 0.1431, 0.5375)
Nd (0.6927, 0.5297, 0.4705)
Nd (0.8342, 0.9638, 0.0660)
Nd (0.8569, 0.3454, 0.9625)
Nd (0.9638, 0.8342, 0.5660)
Si (0.2468, 0.7532, 0.7500)
Si (0.4150, 0.5850, 0.2500)
Si (0.5850, 0.4150, 0.7500)
Si (0.7532, 0.2468, 0.2500)
Bi (0.1394, 0.3525, 0.7921)
Bi (0.3525, 0.1394, 0.2921)
Bi (0.6475, 0.8606, 0.7079)
Bi (0.8606, 0.6475, 0.2079)

## Properties
For the energy relative to the elements, uncorrected, the calculation gives -528 meV per atom. The calculation puts the density of states at the Fermi level at 15.57 states/eV/cell.